Computed, not measured: a relaxed Pm4Ga2Au5 crystal at the GGA-PBE level of DFT.

For the energy relative to the elements, the calculation gives -0.7168 eV per atom.

The space group is P2/m (No. 10) and the conventional cell measures 7.603, 3.875 and 8.901 Å, with angles of 90.00, 93.12 and 90.00 degrees. The inequivalent atoms are Pm at (0.221, 0.000, 0.133), Pm at (0.271, 0.000, 0.625), Ga at (0.062, 0.500, 0.376), Au at (0.131, 0.500, 0.876), Au at (0.405, 0.500, 0.359) and Au at (0.500, 0.500, 0.000).


Computed, not measured: a relaxed LaTb15Er4 crystal at the GGA-PBE level of DFT.

For the energy relative to the elements, the calculation gives 0.0206 eV per atom.

The space group is P4/mmm (No. 123) and the conventional cell measures 5.035, 5.035 and 25.207 Å, with angles of 90.00, 90.00 and 90.00 degrees. The inequivalent atoms are La at (0.000, 0.000, 0.000), Tb at (0.000, 0.500, 0.103), Tb at (0.000, 0.500, 0.301), Tb at (0.000, 0.500, 0.500), Tb at (0.500, 0.500, 0.000), Tb at (0.500, 0.500, 0.203), Tb at (0.500, 0.500, 0.401), Er at (0.000, 0.000, 0.202) and Er at (0.000, 0.000, 0.401).